VASP calculation (PBE-GGA) on FeTcRu2 after structural relaxation.

Output
energy above the most stable polymorph in this dataset	0.235	eV/atom
energy of formation	329.6	meV per atom
volume	14.0	Å³ per atom
ρ	10.54	g/cm3

a = 4.443 Å, b = 4.443 Å, c = 2.842 Å
α = 90.00°, β = 90.00°, γ = 90.00°
Space group P4/mmm (No. 123)
Asymmetric unit:
1 Fe 0.000 0.000 0.000
2 Tc 0.500 0.500 0.000
3 Ru 0.000 0.500 0.500